# 1
{"formula": "BaIr2Ru", "functional": "PBE", "state": "optimized geometry", "polymorph_energy_ev_per_fu": 1.38, "dos_ef_per_ev_atom": 1.236, "dft_energy_ev_per_atom": -6.778, "ef_ev_per_atom": 0.45, "lattice": [[5.180, 0.000, 0.000], [0.000, 5.180, 0.000], [0.000, 0.000, 16.270]], "species": ["Ba", "Ba", "Ba", "Ba", "Ir", "Ir", "Ir", "Ir", "Ir", "Ir", "Ir", "Ir", "Ru", "Ru", "Ru", "Ru"], "fractional_positions": [[0.000, 0.000, 0.000], [0.000, 0.500, 0.250], [0.500, 0.000, 0.750], [0.500, 0.500, 0.500], [0.044, 0.250, 0.625], [0.250, 0.544, 0.875], [0.250, 0.956, 0.375], [0.456, 0.250, 0.125], [0.544, 0.750, 0.125], [0.750, 0.044, 0.375], [0.750, 0.456, 0.875], [0.956, 0.750, 0.625], [0.000, 0.000, 0.500], [0.000, 0.500, 0.750], [0.500, 0.000, 0.250], [0.500, 0.500, 0.000]]}

=====

# 2
{"formula": "BaIr2Ru", "functional": "PBE", "state": "optimized geometry", "polymorph_energy_ev_per_fu": 1.67, "dos_ef_per_ev_atom": 1.253, "dft_energy_ev_per_atom": -6.706, "ef_ev_per_atom": 0.52, "lattice": [[2.915, 0.000, 0.000], [0.000, 4.296, 0.000], [-1.054, 0.000, 6.690]], "species": ["Ba", "Ir", "Ir", "Ru"], "fractional_positions": [[0.000, 0.000, 0.000], [0.620, 0.500, 0.302], [0.682, 0.000, 0.518], [0.237, 0.500, 0.627]]}

=====

# 3
{"formula": "BaIrRu2", "functional": "PBE", "state": "optimized geometry", "polymorph_energy_ev_per_fu": 1.32, "dos_ef_per_ev_atom": 1.222, "dft_energy_ev_per_atom": -6.747, "ef_ev_per_atom": 0.59, "lattice": [[3.014, 0.000, 0.000], [0.000, 3.014, 0.000], [0.000, 0.000, 8.385]], "species": ["Ba", "Ir", "Ru", "Ru"], "fractional_positions": [[0.000, 0.000, 0.000], [0.500, 0.500, 0.308], [0.000, 0.000, 0.504], [0.500, 0.500, 0.687]]}

=====

# 4
{"formula": "BaIrRu2", "functional": "PBE", "state": "optimized geometry", "polymorph_energy_ev_per_fu": 3.22, "dos_ef_per_ev_atom": 1.384, "dft_energy_ev_per_atom": -6.272, "ef_ev_per_atom": 1.06, "lattice": [[6.732, 0.000, 0.000], [0.000, 6.732, 0.000], [0.000, 0.000, 6.732]], "species": ["Ba", "Ba", "Ba", "Ba", "Ir", "Ir", "Ir", "Ir", "Ru", "Ru", "Ru", "Ru", "Ru", "Ru", "Ru", "Ru"], "fractional_positions": [[0.000, 0.000, 0.000], [0.000, 0.500, 0.500], [0.500, 0.000, 0.500], [0.500, 0.500, 0.000], [0.000, 0.000, 0.500], [0.000, 0.500, 0.000], [0.500, 0.000, 0.000], [0.500, 0.500, 0.500], [0.250, 0.250, 0.250], [0.250, 0.250, 0.750], [0.250, 0.750, 0.250], [0.250, 0.750, 0.750], [0.750, 0.250, 0.250], [0.750, 0.250, 0.750], [0.750, 0.750, 0.250], [0.750, 0.750, 0.750]]}

=====

# 5
{"formula": "BaIrRu2", "functional": "PBE", "state": "optimized geometry", "polymorph_energy_ev_per_fu": 2.38, "dos_ef_per_ev_atom": 1.493, "dft_energy_ev_per_atom": -6.483, "ef_ev_per_atom": 0.85, "lattice": [[2.929, 0.000, 0.000], [0.000, 5.250, 0.000], [0.000, 0.000, 10.198]], "species": ["Ba", "Ba", "Ir", "Ir", "Ru", "Ru", "Ru", "Ru"], "fractional_positions": [[0.000, 0.000, 0.000], [0.500, 0.500, 0.500], [0.000, 0.000, 0.500], [0.500, 0.500, 0.000], [0.000, 0.500, 0.216], [0.000, 0.500, 0.784], [0.500, 0.000, 0.284], [0.500, 0.000, 0.716]]}

=====

# 6
{"formula": "BaIr2Ru", "functional": "PBE", "state": "optimized geometry", "polymorph_energy_ev_per_fu": 2.78, "dos_ef_per_ev_atom": 1.703, "dft_energy_ev_per_atom": -6.429, "ef_ev_per_atom": 0.80, "lattice": [[2.936, 0.000, 0.000], [-1.468, 2.542, 0.000], [0.000, 0.000, 29.923]], "species": ["Ba", "Ba", "Ba", "Ir", "Ir", "Ir", "Ir", "Ir", "Ir", "Ru", "Ru", "Ru"], "fractional_positions": [[0.000, 0.000, 0.000], [0.333, 0.667, 0.667], [0.667, 0.333, 0.333], [0.000, 0.000, 0.236], [0.000, 0.000, 0.764], [0.333, 0.667, 0.431], [0.333, 0.667, 0.902], [0.667, 0.333, 0.098], [0.667, 0.333, 0.569], [0.000, 0.000, 0.500], [0.333, 0.667, 0.167], [0.667, 0.333, 0.833]]}

=====

# 7
{"formula": "BaIrRu2", "functional": "PBE", "state": "optimized geometry", "polymorph_energy_ev_per_fu": 2.91, "dos_ef_per_ev_atom": 1.555, "dft_energy_ev_per_atom": -6.351, "ef_ev_per_atom": 0.98, "lattice": [[2.924, 0.000, 0.000], [-1.462, 2.532, 0.000], [0.000, 0.000, 30.151]], "species": ["Ba", "Ba", "Ba", "Ir", "Ir", "Ir", "Ru", "Ru", "Ru", "Ru", "Ru", "Ru"], "fractional_positions": [[0.000, 0.000, 0.000], [0.333, 0.667, 0.667], [0.667, 0.333, 0.333], [0.000, 0.000, 0.500], [0.333, 0.667, 0.167], [0.667, 0.333, 0.833], [0.000, 0.000, 0.236], [0.000, 0.000, 0.764], [0.333, 0.667, 0.431], [0.333, 0.667, 0.902], [0.667, 0.333, 0.098], [0.667, 0.333, 0.569]]}

=====

# 8
{"formula": "BaIrRu2", "functional": "PBE", "state": "optimized geometry", "polymorph_energy_ev_per_fu": 1.43, "dos_ef_per_ev_atom": 1.144, "dft_energy_ev_per_atom": -6.721, "ef_ev_per_atom": 0.61, "lattice": [[2.924, 0.000, 0.000], [0.000, 4.254, 0.000], [-1.434, 0.000, 6.718]], "species": ["Ba", "Ir", "Ru", "Ru"], "fractional_positions": [[0.000, 0.000, 0.000], [0.653, 0.500, 0.309], [0.310, 0.500, 0.630], [0.752, 0.000, 0.514]]}

=====

# 9
{"formula": "BaIrRu2", "functional": "PBE", "state": "optimized geometry", "polymorph_energy_ev_per_fu": 0.00, "dos_ef_per_ev_atom": 0.776, "dft_energy_ev_per_atom": -7.077, "ef_ev_per_atom": 0.26, "lattice": [[4.421, 0.000, 0.000], [-2.211, 3.829, 0.000], [0.000, 0.000, 17.361]], "species": ["Ba", "Ba", "Ba", "Ir", "Ir", "Ir", "Ru", "Ru", "Ru", "Ru", "Ru", "Ru"], "fractional_positions": [[0.000, 0.000, 0.000], [0.333, 0.667, 0.667], [0.667, 0.333, 0.333], [0.000, 0.000, 0.185], [0.333, 0.667, 0.851], [0.667, 0.333, 0.518], [0.000, 0.000, 0.498], [0.000, 0.000, 0.818], [0.333, 0.667, 0.165], [0.333, 0.667, 0.485], [0.667, 0.333, 0.151], [0.667, 0.333, 0.832]]}

=====

# 10
{"formula": "BaIr2Ru", "functional": "PBE", "state": "optimized geometry", "polymorph_energy_ev_per_fu": 2.25, "dos_ef_per_ev_atom": 1.262, "dft_energy_ev_per_atom": -6.560, "ef_ev_per_atom": 0.67, "lattice": [[2.920, 0.000, 0.000], [0.000, 4.429, 0.000], [-1.334, 0.000, 6.541]], "species": ["Ba", "Ir", "Ir", "Ru"], "fractional_positions": [[0.000, 0.000, 0.000], [0.305, 0.500, 0.667], [0.695, 0.500, 0.333], [0.500, 0.000, 0.500]]}

=====

# 11
{"formula": "BaIr2Ru", "functional": "PBE", "state": "optimized geometry", "polymorph_energy_ev_per_fu": 3.78, "dos_ef_per_ev_atom": 1.723, "dft_energy_ev_per_atom": -6.178, "ef_ev_per_atom": 1.05, "lattice": [[6.769, 0.000, 0.000], [0.000, 6.769, 0.000], [0.000, 0.000, 6.769]], "species": ["Ba", "Ba", "Ba", "Ba", "Ir", "Ir", "Ir", "Ir", "Ir", "Ir", "Ir", "Ir", "Ru", "Ru", "Ru", "Ru"], "fractional_positions": [[0.000, 0.000, 0.000], [0.000, 0.500, 0.500], [0.500, 0.000, 0.500], [0.500, 0.500, 0.000], [0.000, 0.000, 0.500], [0.000, 0.500, 0.000], [0.250, 0.250, 0.250], [0.250, 0.750, 0.750], [0.500, 0.000, 0.000], [0.500, 0.500, 0.500], [0.750, 0.250, 0.750], [0.750, 0.750, 0.250], [0.250, 0.250, 0.750], [0.250, 0.750, 0.250], [0.750, 0.250, 0.250], [0.750, 0.750, 0.750]]}

=====

# 12
{"formula": "BaIr2Ru", "functional": "PBE", "state": "optimized geometry", "polymorph_energy_ev_per_fu": 3.86, "dos_ef_per_ev_atom": 0.946, "dft_energy_ev_per_atom": -6.158, "ef_ev_per_atom": 1.07, "lattice": [[6.825, 0.000, 0.000], [0.000, 6.825, 0.000], [0.000, 0.000, 6.825]], "species": ["Ba", "Ba", "Ba", "Ba", "Ir", "Ir", "Ir", "Ir", "Ir", "Ir", "Ir", "Ir", "Ru", "Ru", "Ru", "Ru"], "fractional_positions": [[0.000, 0.000, 0.000], [0.000, 0.500, 0.500], [0.500, 0.000, 0.500], [0.500, 0.500, 0.000], [0.250, 0.250, 0.250], [0.250, 0.250, 0.750], [0.250, 0.750, 0.250], [0.250, 0.750, 0.750], [0.750, 0.250, 0.250], [0.750, 0.250, 0.750], [0.750, 0.750, 0.250], [0.750, 0.750, 0.750], [0.000, 0.000, 0.500], [0.000, 0.500, 0.000], [0.500, 0.000, 0.000], [0.500, 0.500, 0.500]]}

=====

# 13
{"formula": "BaIrRu2", "functional": "PBE", "state": "optimized geometry", "polymorph_energy_ev_per_fu": 3.23, "dos_ef_per_ev_atom": 1.779, "dft_energy_ev_per_atom": -6.270, "ef_ev_per_atom": 1.06, "lattice": [[6.087, 0.000, 0.000], [0.000, 8.308, 0.000], [0.000, 0.000, 2.904]], "species": ["Ba", "Ba", "Ir", "Ir", "Ru", "Ru", "Ru", "Ru"], "fractional_positions": [[0.000, 0.000, 0.000], [0.500, 0.500, 0.000], [0.000, 0.500, 0.000], [0.500, 0.000, 0.000], [0.250, 0.250, 0.500], [0.250, 0.750, 0.500], [0.750, 0.250, 0.500], [0.750, 0.750, 0.500]]}

=====

# 14
{"formula": "BaIrRu2", "functional": "PBE", "state": "optimized geometry", "polymorph_energy_ev_per_fu": 1.15, "dos_ef_per_ev_atom": 1.231, "dft_energy_ev_per_atom": -6.791, "ef_ev_per_atom": 0.54, "lattice": [[2.881, 0.000, 0.000], [0.000, 3.684, 0.000], [0.000, 0.000, 7.531]], "species": ["Ba", "Ir", "Ru", "Ru"], "fractional_positions": [[0.000, 0.000, 0.000], [0.500, 0.500, 0.321], [0.000, 0.000, 0.499], [0.500, 0.500, 0.665]]}

=====

# 15
{"formula": "BaIr2Ru", "functional": "PBE", "state": "optimized geometry", "polymorph_energy_ev_per_fu": 1.25, "dos_ef_per_ev_atom": 1.114, "dft_energy_ev_per_atom": -6.812, "ef_ev_per_atom": 0.42, "lattice": [[2.887, 0.000, 0.000], [0.000, 3.623, 0.000], [0.000, 0.000, 7.647]], "species": ["Ba", "Ir", "Ir", "Ru"], "fractional_positions": [[0.000, 0.000, 0.000], [0.500, 0.500, 0.325], [0.500, 0.500, 0.675], [0.000, 0.000, 0.500]]}

=====

# 16
{"formula": "Ba3IrRu", "functional": "PBE", "state": "optimized geometry", "polymorph_energy_ev_per_fu": 0.00, "dos_ef_per_ev_atom": 0.771, "dft_energy_ev_per_atom": -4.101, "ef_ev_per_atom": 0.68, "lattice": [[5.618, 0.000, 0.000], [0.000, 5.618, 0.000], [0.000, 0.000, 5.618]], "species": ["Ba", "Ba", "Ba", "Ir", "Ru"], "fractional_positions": [[0.000, 0.000, 0.500], [0.000, 0.500, 0.000], [0.500, 0.000, 0.000], [0.500, 0.500, 0.500], [0.000, 0.000, 0.000]]}

=====

# 17
{"formula": "BaIr2Ru", "functional": "PBE", "state": "optimized geometry", "polymorph_energy_ev_per_fu": 3.66, "dos_ef_per_ev_atom": 1.894, "dft_energy_ev_per_atom": -6.207, "ef_ev_per_atom": 1.02, "lattice": [[4.363, 0.000, 0.000], [0.000, 4.363, 0.000], [0.000, 0.000, 7.959]], "species": ["Ba", "Ba", "Ir", "Ir", "Ir", "Ir", "Ru", "Ru"], "fractional_positions": [[0.000, 0.000, 0.000], [0.500, 0.500, 0.500], [0.000, 0.000, 0.500], [0.000, 0.500, 0.750], [0.500, 0.000, 0.250], [0.500, 0.500, 0.000], [0.000, 0.500, 0.250], [0.500, 0.000, 0.750]]}

=====

# 18
{"formula": "BaIrRu2", "functional": "PBE", "state": "optimized geometry", "polymorph_energy_ev_per_fu": 3.61, "dos_ef_per_ev_atom": 1.561, "dft_energy_ev_per_atom": -6.175, "ef_ev_per_atom": 1.16, "lattice": [[4.313, 0.000, 0.000], [0.000, 4.313, 0.000], [0.000, 0.000, 4.083]], "species": ["Ba", "Ir", "Ru", "Ru"], "fractional_positions": [[0.000, 0.000, 0.000], [0.500, 0.500, 0.000], [0.000, 0.500, 0.500], [0.500, 0.000, 0.500]]}

=====

# 19
{"formula": "BaIr2Ru", "functional": "PBE", "state": "optimized geometry", "polymorph_energy_ev_per_fu": 3.14, "dos_ef_per_ev_atom": 1.276, "dft_energy_ev_per_atom": -6.338, "ef_ev_per_atom": 0.89, "lattice": [[5.932, 0.000, 0.000], [0.000, 8.651, 0.000], [0.000, 0.000, 2.933]], "species": ["Ba", "Ba", "Ir", "Ir", "Ir", "Ir", "Ru", "Ru"], "fractional_positions": [[0.000, 0.000, 0.000], [0.500, 0.500, 0.000], [0.250, 0.250, 0.500], [0.250, 0.750, 0.500], [0.750, 0.250, 0.500], [0.750, 0.750, 0.500], [0.000, 0.500, 0.000], [0.500, 0.000, 0.000]]}

=====

# 20
{"formula": "BaIrRu2", "functional": "PBE", "state": "optimized geometry", "polymorph_energy_ev_per_fu": 3.38, "dos_ef_per_ev_atom": 1.674, "dft_energy_ev_per_atom": -6.233, "ef_ev_per_atom": 1.10, "lattice": [[4.395, 0.000, 0.000], [0.000, 4.395, 0.000], [0.000, 0.000, 7.806]], "species": ["Ba", "Ba", "Ir", "Ir", "Ru", "Ru", "Ru", "Ru"], "fractional_positions": [[0.000, 0.000, 0.000], [0.500, 0.500, 0.500], [0.000, 0.500, 0.750], [0.500, 0.000, 0.250], [0.000, 0.000, 0.500], [0.000, 0.500, 0.250], [0.500, 0.000, 0.750], [0.500, 0.500, 0.000]]}